(1)
VASP calculation (PBE) on Ac5Ru2O12 after structural relaxation.

Lattice parameters (Å, degrees): 6.1935 7.3730 8.1009 105.73 90.00 114.84
Closest atoms and distances in Å follow each position.
Sites, in units of the cell vectors:
O  0.9015  0.3080  0.0752  1 Ru 1.97
O  0.4064  0.3080  0.0752  1 Ru 1.97
O  0.9992  0.9984  0.8238  2 Ru 2.03
O  0.5936  0.6920  0.9248  1 Ru 1.97
O  0.5946  0.6886  0.4200  4 Ac 2.51-2.53
O  0.9060  0.3114  0.5800  4 Ac 2.51-2.53
O  0.5008  0.0015  0.8396  2 Ru 2.10
O  0.0985  0.6920  0.9248  1 Ru 1.97
O  0.4054  0.3114  0.5800  4 Ac 2.51-2.53
O  0.0940  0.6886  0.4200  4 Ac 2.51-2.53
O  0.0008  0.0016  0.1762  2 Ru 2.03
O  0.4992  0.9985  0.1604  2 Ru 2.10
Ru  0.7660  0.0000  0.0000  6 O 1.97-2.10
Ru  0.2340  0.0000  0.0000  6 O 1.97-2.10
Ac  0.0000  0.0000  0.5000  6 O 2.52-2.63
Ac  0.6881  0.3761  0.3540  7 O 2.53-2.65
Ac  0.3102  0.6204  0.1652  7 O 2.51-2.63
Ac  0.3119  0.6239  0.6460  7 O 2.53-2.65
Ac  0.6898  0.3796  0.8348  7 O 2.51-2.63

Symmetry: C2/m, No. 12
Density of states at the Fermi level (states/eV per cell): 0.703

---

(2)
VASP calculation (PBE) on Ac12Ru3O5 after structural relaxation.

Lattice parameters (Å, degrees): 14.4312 14.4312 14.4312 109.47 109.47 109.47
Closest atoms and distances in Å follow each position.
Sites, in units of the cell vectors:
Ac  0.9116  0.0952  0.6208  1 O 2.45
Ac  0.1837  0.0884  0.7092  1 O 2.45
Ac  0.0952  0.1837  0.4744  1 O 2.45
Ac  0.5256  0.3163  0.9048  1 O 2.45
Ac  0.3792  0.9744  0.7908  1 O 2.45
Ac  0.7092  0.5884  0.1837  1 O 2.45
Ac  0.8792  0.5884  0.9048  1 O 2.45
Ac  0.5952  0.9744  0.6837  1 O 2.45
Ac  0.2908  0.4116  0.8163  1 O 2.45
Ac  0.5884  0.7092  0.6837  1 O 2.45
Ac  0.6837  0.4744  0.5952  1 O 2.45
Ac  0.7908  0.3163  0.9116  1 O 2.45
Ac  0.2908  0.8792  0.9744  1 O 2.45
Ac  0.0952  0.9116  0.1208  1 O 2.45
Ac  0.9116  0.8163  0.7908  1 O 2.45
Ac  0.8792  0.2908  0.4744  1 O 2.45
Ac  0.5256  0.2092  0.1208  1 O 2.45
Ac  0.3792  0.4048  0.0884  1 O 2.45
Ac  0.6837  0.2092  0.5884  1 O 2.45
Ac  0.1208  0.7092  0.5256  1 O 2.45
Ac  0.0256  0.4048  0.8163  1 O 2.45
Ac  0.3163  0.5256  0.4048  1 O 2.45
Ac  0.2092  0.6837  0.0884  1 O 2.45
Ac  0.7908  0.4744  0.3792  1 O 2.45
Ac  0.6208  0.0256  0.2092  1 O 2.45
Ac  0.0884  0.1837  0.2092  1 O 2.45
Ac  0.8163  0.9116  0.2908  1 O 2.45
Ac  0.9744  0.3792  0.2908  1 O 2.45
Ac  0.5884  0.8792  0.4048  1 O 2.45
Ac  0.9048  0.8163  0.5256  1 O 2.45
Ac  0.0256  0.6208  0.7092  1 O 2.45
Ac  0.1837  0.0952  0.9744  1 O 2.45
Ac  0.6208  0.5952  0.9116  1 O 2.45
Ac  0.7092  0.1208  0.0256  1 O 2.45
Ac  0.4744  0.6837  0.0952  1 O 2.45
Ac  0.5952  0.6208  0.4116  1 O 2.45
Ac  0.9744  0.5952  0.1837  1 O 2.45
Ac  0.4116  0.1208  0.5952  1 O 2.45
Ac  0.8163  0.9048  0.0256  1 O 2.45
Ac  0.3163  0.7908  0.4116  1 O 2.45
Ac  0.0884  0.9048  0.3792  1 O 2.45
Ac  0.4048  0.3792  0.5884  1 O 2.45
Ac  0.4744  0.7908  0.8792  1 O 2.45
Ac  0.1208  0.4116  0.0952  1 O 2.45
Ac  0.2092  0.5256  0.6208  1 O 2.45
Ac  0.9048  0.0884  0.8792  1 O 2.45
Ac  0.4048  0.0256  0.3163  1 O 2.45
Ac  0.4116  0.2908  0.3163  1 O 2.45
O  0.2500  0.3750  0.6250  4 Ac 2.45
O  0.8750  0.6250  0.7500  4 Ac 2.45
O  0.0000  0.0000  0.0000  6 Ac 2.76
O  0.0000  0.5000  0.5000  6 Ac 2.76
O  0.6250  0.7500  0.8750  4 Ac 2.45
O  0.5000  0.5000  0.0000  6 Ac 2.76
O  0.1250  0.7500  0.3750  4 Ac 2.45
O  0.5000  0.0000  0.5000  6 Ac 2.76
O  0.3750  0.2500  0.1250  4 Ac 2.45
O  0.2500  0.8750  0.1250  4 Ac 2.45
O  0.7500  0.1250  0.8750  4 Ac 2.45
O  0.0000  0.5000  0.0000  6 Ac 2.76
O  0.7500  0.6250  0.3750  4 Ac 2.45
O  0.3750  0.1250  0.7500  4 Ac 2.45
O  0.6250  0.8750  0.2500  4 Ac 2.45
O  0.8750  0.2500  0.6250  4 Ac 2.45
O  0.5000  0.0000  0.0000  6 Ac 2.76
O  0.1250  0.3750  0.2500  4 Ac 2.45
O  0.5000  0.5000  0.5000  6 Ac 2.76
O  0.0000  0.0000  0.5000  6 Ac 2.76
Ru  0.7500  0.8750  0.6250  8 Ac 3.22-3.29
Ru  0.7500  0.3750  0.1250  8 Ac 3.22-3.29
Ru  0.8750  0.1250  0.2500  8 Ac 3.22-3.29
Ru  0.1250  0.2500  0.8750  8 Ac 3.22-3.29
Ru  0.6250  0.2500  0.3750  8 Ac 3.22-3.29
Ru  0.2500  0.6250  0.8750  8 Ac 3.22-3.29
Ru  0.6250  0.3750  0.7500  8 Ac 3.22-3.29
Ru  0.1250  0.8750  0.7500  8 Ac 3.22-3.29
Ru  0.2500  0.1250  0.3750  8 Ac 3.22-3.29
Ru  0.8750  0.7500  0.1250  8 Ac 3.22-3.29
Ru  0.3750  0.6250  0.2500  8 Ac 3.22-3.29
Ru  0.3750  0.7500  0.6250  8 Ac 3.22-3.29

Symmetry: Ia-3d, No. 230
Density of states at the Fermi level (states/eV per cell): 65.918

---

(3)
VASP calculation (PBE) on AcSbRuO after structural relaxation.

Lattice parameters (Å, degrees): 4.3638 4.3638 9.1168 90.00 90.00 90.00
Closest atoms and distances in Å follow each position.
Sites, in units of the cell vectors:
Ru  0.5000  0.5000  0.0000  4 Sb 2.60
Ru  0.0000  0.0000  0.0000  4 Sb 2.60
O  0.0000  0.0000  0.5000  4 Ac 2.50
O  0.5000  0.5000  0.5000  4 Ac 2.50
Sb  0.0000  0.5000  0.8445  4 Ru 2.60
Sb  0.5000  0.0000  0.1555  4 Ru 2.60
Ac  0.5000  0.0000  0.6336  4 O 2.50
Ac  0.0000  0.5000  0.3664  4 O 2.50

Symmetry: P4/nmm, No. 129
Density of states at the Fermi level (states/eV per cell): 2.348

---

(4)
VASP calculation (PBE) on Ac2SmRuO8 after structural relaxation.

Lattice parameters (Å, degrees): 4.5178 5.5900 7.3003 90.00 90.00 96.93
Closest atoms and distances in Å follow each position.
Sites, in units of the cell vectors:
Ac  0.5000  0.5000  0.2417  4 O 2.35-2.62
Ac  0.5000  0.5000  0.7583  4 O 2.35-2.62
O  0.6198  0.8452  0.0000  1 Ru 1.83
O  0.9297  0.2241  0.7938  1 Ru 2.01
O  0.9297  0.2241  0.2062  1 Ru 2.01
O  0.0703  0.7759  0.2062  1 Ru 2.01
O  0.0703  0.7759  0.7938  1 Ru 2.01
O  0.3802  0.1548  0.0000  1 Ru 1.83
O  0.4398  0.2477  0.5000  1 Sm 2.28, 2 Ac 2.35
O  0.5602  0.7523  0.5000  1 Sm 2.28, 2 Ac 2.35
Ru  0.0000  0.0000  0.0000  6 O 1.83-2.01
Sm  0.0000  0.0000  0.5000  6 O 2.28-2.52

Symmetry: P2/m, No. 10
Density of states at the Fermi level (states/eV per cell): 2.478

---

no.,formation energy without anion corrections (eV per atom),ρ (g/cm³)
1,-2.605,7.9
2,-1.293,8.9
3,-1.710,8.9
4,-2.259,7.6